A.
Below is an optimized crystal structure of Y2SbSe, with properties calculated at the PBE level.

## Properties
magnetization: 0.76 μB per formula unit

Cell lengths 5.2933, 5.2903, 3.6086 Å; angles 90.00, 90.00, 90.00 degrees
Closest atoms and distances in Å follow each position.
Positions (direct):
Sb  0.5000  0.0000  0.5000  8 Y 3.20
Se  0.0000  0.5000  0.5000  8 Y 3.20
Y  0.0000  0.0000  0.0000  4 Se 3.20, 4 Sb 3.20
Y  0.5000  0.5000  0.0000  4 Sb 3.20, 4 Se 3.20

=====

B.
Below is an optimized crystal structure of Y2SbSe, with properties calculated at the PBE level.

## Properties
magnetization: 0.00 μB per formula unit

Cell lengths 6.5129, 6.5129, 4.3284 Å; angles 90.00, 90.00, 36.56 degrees
Closest atoms and distances in Å follow each position.
Positions (direct):
Sb  0.4838  0.4838  0.6253  5 Y 3.01-3.30
Se  0.2449  0.2449  0.1247  5 Y 2.77-2.98
Y  0.0209  0.0209  0.1253  1 Se 2.77, 4 Sb 3.01
Y  0.7504  0.7504  0.6247  4 Se 2.98, 1 Sb 3.30

=====

C.
Below is an optimized crystal structure of Y2SbSe, with properties calculated at the PBE level.

## Properties
magnetization: 0.00 μB per formula unit

Cell lengths 3.8439, 3.9989, 7.4946 Å; angles 89.93, 90.00, 90.00 degrees
Closest atoms and distances in Å follow each position.
Positions (direct):
Sb  0.5000  0.2500  0.2500  8 Y 3.26
Se  0.5000  0.7500  0.7500  4 Y 2.79
Y  0.0000  0.7503  0.0203  2 Se 2.79
Y  0.0000  0.7497  0.4797  2 Se 2.79

=====

Most stable = B